A plane-wave DFT calculation with GGA-PBE was carried out for an optimized crystal structure of NaSr14Ca.

Computed properties:
- V (Å³/cell) = 847
- SG = No. 123
- calculated density (g/cm3) = 2.53
- energy of formation from the pure elements (eV/atom) = 0.009

Lattice parameters (Å, degrees): 8.4849 8.4849 11.7632 90.00 90.00 90.00
Last column: nearest neighbours and their distance in Å.
Atoms (fractional coordinates):
Sr: 0.1256 0.6244 0.7439  1 Ca 4.15, 10 Sr 4.15-4.26, 1 Na 4.16
Sr: 0.1256 0.1256 0.2562  1 Ca 4.14, 10 Sr 4.15-4.26, 1 Na 4.16
Sr: 0.8750 0.3750 0.0000  12 Sr 4.24-4.25
Sr: 0.6244 0.6244 0.2562  1 Ca 4.14, 10 Sr 4.15-4.26, 1 Na 4.16
Sr: 0.3750 0.8750 0.0000  12 Sr 4.24-4.25
Sr: 0.8750 0.8750 0.0000  12 Sr 4.24-4.26
Sr: 0.6244 0.1256 0.7439  1 Ca 4.15, 10 Sr 4.15-4.26, 1 Na 4.16
Sr: 0.8750 0.3750 0.5000  8 Sr 4.15, 2 Na 4.24, 2 Ca 4.24
Sr: 0.6244 0.1256 0.2561  1 Ca 4.15, 10 Sr 4.15-4.26, 1 Na 4.16
Sr: 0.3750 0.8750 0.5000  8 Sr 4.15, 2 Na 4.24, 2 Ca 4.24
Sr: 0.1256 0.6244 0.2561  1 Ca 4.15, 10 Sr 4.15-4.26, 1 Na 4.16
Sr: 0.6244 0.6244 0.7438  1 Ca 4.14, 10 Sr 4.15-4.26, 1 Na 4.16
Sr: 0.3750 0.3750 0.0000  12 Sr 4.24-4.25
Sr: 0.1256 0.1256 0.7438  1 Ca 4.14, 10 Sr 4.15-4.26, 1 Na 4.16
Ca: 0.3750 0.3750 0.5000  12 Sr 4.14-4.24
Na: 0.8750 0.8750 0.5000  12 Sr 4.16-4.24

---

A plane-wave DFT calculation with GGA-PBE was carried out for an optimized crystal structure of Na2Sr8Ca.

Computed properties:
- V (Å³/cell) = 559
- SG = No. 12
- calculated density (g/cm3) = 2.34
- energy of formation from the pure elements (eV/atom) = 0.029
- distance to the lowest polymorph of the same formula (meV per atom) = 0

Lattice parameters (Å, degrees): 6.5510 7.8472 11.3661 91.34 106.75 90.00
Last column: nearest neighbours and their distance in Å.
Atoms (fractional coordinates):
Sr: 0.3180 0.0799 0.6359  3 Na 3.93-3.99, 1 Ca 4.03, 4 Sr 4.16-4.23
Sr: 0.5925 0.4435 0.1850  1 Ca 3.98, 2 Na 4.07, 7 Sr 4.14-4.43
Sr: 0.4075 0.5565 0.8150  1 Ca 3.98, 2 Na 4.07, 7 Sr 4.14-4.43
Sr: 0.6820 0.9201 0.3641  3 Na 3.93-3.99, 1 Ca 4.03, 4 Sr 4.16-4.23
Sr: 0.7827 0.3888 0.5653  1 Na 3.85, 7 Sr 3.99-4.23
Sr: 0.9624 0.2537 0.9248  2 Na 3.90-3.91, 2 Ca 3.93, 5 Sr 4.08-4.34
Sr: 0.0376 0.7463 0.0752  2 Na 3.90-3.91, 2 Ca 3.93, 5 Sr 4.08-4.34
Sr: 0.2173 0.6112 0.4347  1 Na 3.85, 7 Sr 3.99-4.23
Ca: 0.5000 0.0000 0.0000  8 Sr 3.93-4.03
Na: 0.1382 0.1666 0.2763  8 Sr 3.85-4.07
Na: 0.8618 0.8334 0.7237  8 Sr 3.85-4.07

---

A plane-wave DFT calculation with GGA-PBE was carried out for an optimized crystal structure of NaSr6Ca.

Computed properties:
- V (Å³/cell) = 408
- SG = No. 139
- calculated density (g/cm3) = 2.40
- energy of formation from the pure elements (eV/atom) = 0.023
- distance to the lowest polymorph of the same formula (meV per atom) = 0

Lattice parameters (Å, degrees): 6.0814 6.0814 11.8393 75.12 75.12 90.00
Last column: nearest neighbours and their distance in Å.
Atoms (fractional coordinates):
Sr: 0.8840 0.3840 0.2320  2 Ca 3.97, 2 Na 3.97, 8 Sr 4.20-4.30
Sr: 0.1160 0.6160 0.7680  2 Ca 3.97, 2 Na 3.97, 8 Sr 4.20-4.30
Sr: 0.2524 0.2524 0.4952  12 Sr 4.20-4.30
Sr: 0.7476 0.7476 0.5048  12 Sr 4.20-4.30
Sr: 0.3840 0.8841 0.2320  2 Ca 3.97, 2 Na 3.97, 8 Sr 4.20-4.30
Sr: 0.6160 0.1159 0.7680  2 Ca 3.97, 2 Na 3.97, 8 Sr 4.20-4.30
Ca: 0.5000 0.5000 0.0000  8 Sr 3.97, 4 Na 4.30
Na: 0.0000 0.0000 0.0000  8 Sr 3.97, 4 Ca 4.30

---

A plane-wave DFT calculation with GGA-PBE was carried out for an optimized crystal structure of Na3Sr8Ca2.

Computed properties:
- V (Å³/cell) = 674
- SG = No. 65
- calculated density (g/cm3) = 2.09
- energy of formation from the pure elements (eV/atom) = 0.137
- distance to the lowest polymorph of the same formula (meV per atom) = 34

Lattice parameters (Å, degrees): 6.6793 9.0880 12.0040 112.24 90.00 90.00
Last column: nearest neighbours and their distance in Å.
Atoms (fractional coordinates):
Sr: 0.0000 0.8759 0.7518  4 Na 3.98-4.33, 2 Ca 4.17, 5 Sr 4.25-4.45
Sr: 0.0000 0.6756 0.3513  2 Ca 3.87, 4 Sr 4.19, 2 Na 4.25
Sr: 0.0000 0.1241 0.2482  4 Na 3.98-4.33, 2 Ca 4.17, 5 Sr 4.25-4.45
Sr: 0.5000 0.3878 0.2055  1 Na 3.45
Sr: 0.5000 0.8177 0.2055  1 Na 3.45
Sr: 0.0000 0.3244 0.6487  2 Ca 3.87, 4 Sr 4.19, 2 Na 4.25
Sr: 0.5000 0.6122 0.7945  1 Na 3.45
Sr: 0.5000 0.1823 0.7945  1 Na 3.45
Ca: 0.5000 0.7635 0.5270  8 Sr 3.87-4.17
Ca: 0.5000 0.2365 0.4730  8 Sr 3.87-4.17
Na: 0.0000 0.6839 0.0000  1 Na 3.34
Na: 0.0000 0.3160 0.0000  1 Na 3.34
Na: 0.5000 0.0000 0.0000  4 Sr 3.45